No. 1
An optimized crystal structure of ScBeAl3. Source: the Alexandria database, functional PBE-GGA.

a b c (Å): 5.216 5.216 5.216
angles (deg): 90.00 90.00 90.00
Atoms (fractional coordinates):
Sc 0.000 0.000 0.000
Be 0.500 0.500 0.500
Al 0.000 0.000 0.500
Al 0.000 0.500 0.000
Al 0.500 0.000 0.000

## Properties
Distance to the lowest polymorph of the same formula: 1245 meV per atom
Spin magnetization: 0.0 μB per cell
Energy: -2.812 eV/atom
SG: Pm-3m (221)



No. 2
An optimized crystal structure of ScBeAl. Source: the Alexandria database, functional PBE-GGA.

a b c (Å): 4.160 4.160 3.236
angles (deg): 90.00 90.00 120.00
Atoms (fractional coordinates):
Sc 0.000 0.000 0.000
Be 0.667 0.333 0.500
Al 0.333 0.667 0.500

## Properties
Distance to the lowest polymorph of the same formula: 0 meV per atom
Spin magnetization: 0.0 μB per cell
Energy: -4.896 eV/atom
SG: P-6m2 (187)



No. 3
An optimized crystal structure of ScBeAl4. Source: the Alexandria database, functional PBE-GGA.

a b c (Å): 5.274 5.274 5.274
angles (deg): 60.00 60.00 60.00
Atoms (fractional coordinates):
Sc 0.000 0.000 0.000
Be 0.250 0.250 0.250
Al 0.125 0.625 0.625
Al 0.625 0.125 0.625
Al 0.625 0.625 0.125
Al 0.625 0.625 0.625

## Properties
Spin magnetization: 0.0 μB per cell
Energy: -4.063 eV/atom
SG: F-43m (216)



No. 4
An optimized crystal structure of ScBe2Al2. Source: the Alexandria database, functional PBE-GGA.

a b c (Å): 7.281 7.281 2.675
angles (deg): 90.00 90.00 90.00
Atoms (fractional coordinates):
Sc 0.000 0.000 0.000
Sc 0.500 0.500 0.000
Be 0.165 0.335 0.500
Be 0.335 0.835 0.500
Be 0.665 0.165 0.500
Be 0.835 0.665 0.500
Al 0.130 0.630 0.000
Al 0.370 0.130 0.000
Al 0.630 0.870 0.000
Al 0.870 0.370 0.000

## Properties
Distance to the lowest polymorph of the same formula: 121 meV per atom
Spin magnetization: 0.0 μB per cell
Energy: -4.222 eV/atom
SG: P4/mbm (127)